Entry 1:
Density functional theory data (PBE-GGA) for crystalline Sc3TlS2 at its relaxed geometry.

Geometry as POSCAR:
```
Sc3TlS2
1.0
3.6296 0.0000 0.0000
-1.8148 6.7508 0.0000
0.0000 0.0000 10.4625
Sc S Tl
6 4 2
direct
0.6403 0.2806 0.0233 Sc
0.3597 0.7194 0.9767 Sc
0.0296 0.0591 0.7500 Sc
0.9704 0.9409 0.2500 Sc
0.6403 0.2806 0.4767 Sc
0.3597 0.7194 0.5233 Sc
0.0000 0.0000 0.0000 S
0.5981 0.1963 0.2500 S
0.4019 0.8037 0.7500 S
0.0000 0.0000 0.5000 S
0.7157 0.4315 0.7500 Tl
0.2843 0.5685 0.2500 Tl
```

Computed properties:
**E_form (uncorrected)**: -1.148 eV per atom
**Space group**: Cmcm, No. 63
**Energy**: -0.2236 hartree per atom
**D(E_F)**: 3.6 states/eV/f.u.

***

Entry 2:
Density functional theory data (PBE-GGA) for crystalline Dy2Ti2CdRh5 at its relaxed geometry.

Geometry as POSCAR:
```
Dy2Ti2CdRh5
1.0
3.5886 0.0000 0.0000
0.0000 10.0727 0.0000
0.0000 0.0000 10.0727
Ti Rh Dy Cd
4 10 4 2
direct
0.0000 0.6190 0.8810 Ti
0.0000 0.8810 0.3810 Ti
0.0000 0.1190 0.6190 Ti
0.0000 0.3810 0.1190 Ti
0.5000 0.9346 0.2126 Rh
0.5000 0.5654 0.7126 Rh
0.5000 0.4346 0.2874 Rh
0.5000 0.7126 0.4346 Rh
0.5000 0.7874 0.9346 Rh
0.5000 0.0000 0.5000 Rh
0.5000 0.5000 0.0000 Rh
0.5000 0.2126 0.0654 Rh
0.5000 0.2874 0.5654 Rh
0.5000 0.0654 0.7874 Rh
0.0000 0.6802 0.1802 Dy
0.0000 0.1802 0.3198 Dy
0.0000 0.8198 0.6802 Dy
0.0000 0.3198 0.8198 Dy
0.0000 0.5000 0.5000 Cd
0.0000 0.0000 0.0000 Cd
```

Computed properties:
**Space group**: P4/mbm, No. 127
**Energy**: -0.2513 hartree per atom
**D(E_F)**: 4.0 states/eV/f.u.
**Calculated formation energy**: -0.57 eV per atom

***

Entry 3:
Density functional theory data (PBE-GGA) for crystalline KVSbPt2 at its relaxed geometry.

Geometry as POSCAR:
```
KVSbPt2
1.0
4.7740 0.0000 0.0000
0.0000 5.2591 0.0000
0.0000 0.0000 4.7740
Pt Sb V K
2 1 1 1
direct
0.5000 0.0000 0.0000 Pt
0.0000 0.0000 0.5000 Pt
0.5000 0.5000 0.5000 Sb
0.0000 0.0000 0.0000 V
0.0000 0.5000 0.0000 K
```

Computed properties:
**E_form (uncorrected)**: 0.782 eV per atom
**Space group**: P4/mmm, No. 123
**Energy**: -0.1654 hartree per atom
**D(E_F)**: 4.8 states/eV/f.u.

***

Entry 4:
Density functional theory data (PBE-GGA) for crystalline KReSe2 at its relaxed geometry.

Geometry as POSCAR:
```
KReSe2
1.0
-6.7400 4.7103 -1.1476
-7.9115 0.3384 -2.4952
6.6304 -2.9423 4.0389
K Se Re
1 2 1
direct
0.4453 0.4453 0.0000 K
0.7747 0.2747 0.5000 Se
0.0825 0.0825 0.0000 Se
0.1975 0.6975 0.5000 Re
```

Computed properties:
**E_form (uncorrected)**: -0.105 eV per atom
**Space group**: Imm2, No. 44
**Energy**: -0.1923 hartree per atom
**D(E_F)**: 1.5 states/eV/f.u.

***

Entry 5:
Density functional theory data (PBE-GGA) for crystalline VSnSb2Te at its relaxed geometry.

Geometry as POSCAR:
```
VSnSb2Te
1.0
-2.2589 3.3598 3.2517
0.6854 -3.3344 3.9213
4.7037 2.1713 1.0241
Te Sb V Sn
1 2 1 1
direct
0.0000 0.0000 0.5000 Te
0.0000 0.5000 0.0000 Sb
0.5000 0.0000 0.0000 Sb
0.0000 0.0000 0.0000 V
0.5000 0.5000 0.5000 Sn
```

Computed properties:
**E_form (uncorrected)**: 0.307 eV per atom
**Space group**: P4/mmm, No. 123
**Energy**: -0.1688 hartree per atom
**D(E_F)**: 5.8 states/eV/f.u.

***

Entry 6:
Density functional theory data (PBE-GGA) for crystalline Li7MgCu2 at its relaxed geometry.

Geometry as POSCAR:
```
Li7MgCu2
1.0
-2.2046 1.5110 0.4225
-2.0117 -3.7809 3.0239
6.1793 6.7702 8.0313
Mg Li Cu
1 7 2
direct
0.0000 0.0000 0.0000 Mg
0.5000 0.3561 0.2116 Li
0.0000 0.7904 0.5808 Li
0.5000 0.1444 0.7884 Li
0.5000 0.8556 0.2116 Li
0.5000 0.5000 0.0000 Li
0.0000 0.2096 0.4192 Li
0.5000 0.6439 0.7884 Li
0.5000 0.3035 0.6070 Cu
0.5000 0.6965 0.3930 Cu
```

Computed properties:
**Space group**: Cmmm, No. 65
**Energy**: -0.0827 hartree per atom
**D(E_F)**: 3.8 states/eV/f.u.
**Calculated formation energy**: 0.07 eV per atom